1.
Here is crystalline SrNdAgPb at its relaxed geometry from Alexandria. Energies are from PBE.

Structure (POSCAR):
```
SrNdAgPb
1.0
0.0000 3.9293 3.9293
3.9293 0.0000 3.9293
3.9293 3.9293 0.0000
Sr Nd Ag Pb
1 1 1 1
Direct
0.0000 0.0000 0.0000
0.5000 0.5000 0.5000
0.2500 0.2500 0.2500
0.7500 0.7500 0.7500
```

Values from the calculation:
SG ... F-43m
Uncorrected energy ... -14.690 eV/cell

=====

2.
Here is crystalline Ta2HgSe at its relaxed geometry from Alexandria. Energies are from PBE.

Structure (POSCAR):
```
Ta2HgSe
1.0
4.8282 0.0000 0.0000
0.0000 4.8282 0.0000
0.0000 0.0000 3.1193
Ta Hg Se
2 1 1
Direct
0.0000 0.5000 0.0000
0.5000 0.0000 0.0000
0.0000 0.0000 0.5000
0.5000 0.5000 0.5000
```

Values from the calculation:
SG ... P4/mmm
Polymorph energy (0 for the lowest one) ... 1.38 eV/f.u.

=====

3.
Here is crystalline PaGeAu at its relaxed geometry from Alexandria. Energies are from PBE.

Structure (POSCAR):
```
PaGeAu
1.0
3.8837 0.0000 0.0000
0.0000 3.9116 0.0000
-1.9209 0.0000 8.5015
Pa Ge Au
2 2 2
Direct
0.1078 0.2500 0.2181
0.8922 0.7500 0.7819
0.4513 0.2500 0.9014
0.5487 0.7500 0.0986
0.2877 0.2500 0.5755
0.7123 0.7500 0.4245
```

Values from the calculation:
SG ... P2_1/m
Uncorrected energy ... -36.890 eV/cell

=====

4.
Here is crystalline HfRhS2 at its relaxed geometry from Alexandria. Energies are from PBE.

Structure (POSCAR):
```
HfRhS2
1.0
0.0000 3.1288 3.1288
3.1288 0.0000 3.1288
3.1288 3.1288 0.0000
Hf Rh S
1 1 2
Direct
0.0000 0.0000 0.0000
0.5000 0.5000 0.5000
0.2500 0.2500 0.2500
0.7500 0.7500 0.7500
```

Values from the calculation:
SG ... Fm-3m
Polymorph energy (0 for the lowest one) ... 0.31 eV/f.u.

=====

5.
Here is crystalline CdGePW2 at its relaxed geometry from Alexandria. Energies are from PBE.

Structure (POSCAR):
```
CdGePW2
1.0
4.7276 0.0000 0.0000
0.0000 4.7276 0.0000
0.0000 0.0000 4.7850
Cd Ge P W
1 1 1 2
Direct
0.0000 0.0000 0.0000
0.0000 0.0000 0.5000
0.5000 0.5000 0.0000
0.0000 0.5000 0.5000
0.5000 0.0000 0.5000
```

Values from the calculation:
SG ... P4/mmm
Uncorrected energy ... -27.637 eV/cell

=====

6.
Here is crystalline LaZr2ScH at its relaxed geometry from Alexandria. Energies are from PBE.

Structure (POSCAR):
```
LaZr2ScH
1.0
4.6582 0.0000 0.0000
0.0000 4.6582 0.0000
0.0000 0.0000 4.8652
La Zr Sc H
1 2 1 1
Direct
0.0000 0.0000 0.0000
0.0000 0.5000 0.5000
0.5000 0.0000 0.5000
0.5000 0.5000 0.0000
0.0000 0.0000 0.5000
```

Values from the calculation:
SG ... P4/mmm
Polymorph energy (0 for the lowest one) ... 0.00 eV/f.u.

=====

Repeat the third record exactly.
Here is crystalline PaGeAu at its relaxed geometry from Alexandria. Energies are from PBE.

Structure (POSCAR):
```
PaGeAu
1.0
3.8837 0.0000 0.0000
0.0000 3.9116 0.0000
-1.9209 0.0000 8.5015
Pa Ge Au
2 2 2
Direct
0.1078 0.2500 0.2181
0.8922 0.7500 0.7819
0.4513 0.2500 0.9014
0.5487 0.7500 0.0986
0.2877 0.2500 0.5755
0.7123 0.7500 0.4245
```

Values from the calculation:
SG ... P2_1/m
Uncorrected energy ... -36.890 eV/cell